[1]
The following is a DFT calculation (GGA-PBE) of crystalline Ca3ZnSi at its relaxed geometry.

Values from the calculation:
The calculation puts the total energy at -12.87 eV for the cell shown. The formation energy from raw total energies is -16 kJ/mol of formula units.

Cell: 5.6549 5.6549 5.6549 Å, 90.00 90.00 90.00°
Closest atoms and distances in Å follow each position.
Positions (direct):
Zn 0.5000 0.5000 0.5000  12 Ca 4.00
Si 0.0000 0.0000 0.0000  6 Ca 2.83
Ca 0.0000 0.5000 0.0000  2 Si 2.83
Ca 0.0000 0.0000 0.5000  2 Si 2.83
Ca 0.5000 0.0000 0.0000  2 Si 2.83

***

[2]
The following is a DFT calculation (GGA-PBE) of crystalline TaV3Te at its relaxed geometry.

Values from the calculation:
The calculation puts the total energy at -34.92 eV for the cell shown. The formation energy from raw total energies is 717 kJ/mol of formula units.

Cell: 4.7120 4.7120 4.7120 Å, 90.00 90.00 90.00°
Closest atoms and distances in Å follow each position.
Positions (direct):
Te 0.0000 0.0000 0.0000  6 V 2.36
Ta 0.5000 0.5000 0.5000  12 V 3.33
V 0.0000 0.5000 0.0000  2 Te 2.36
V 0.0000 0.0000 0.5000  2 Te 2.36
V 0.5000 0.0000 0.0000  2 Te 2.36

***

[3]
The following is a DFT calculation (GGA-PBE) of crystalline RbAuF3 at its relaxed geometry.

Values from the calculation:
The calculation puts the total energy at -37.08 eV for the cell shown. The formation energy from raw total energies is -838 kJ/mol of formula units.

Cell: 5.7410 6.4774 6.8774 Å, 95.80 114.65 89.99°
Closest atoms and distances in Å follow each position.
Positions (direct):
Rb 0.2946 0.9171 0.3458  7 F 2.84-3.06
Rb 0.6909 0.3845 0.1382  7 F 2.84-3.06
Au 0.9927 0.1509 0.7422  2 F 2.01
Au 0.9928 0.6507 0.7419  4 F 1.97
F 0.1523 0.2311 0.0624  1 Au 2.01
F 0.8331 0.0707 0.4220  1 Au 2.01
F 0.3435 0.7065 0.9682  1 Au 1.97
F 0.8679 0.7068 0.9680  1 Au 1.97
F 0.1176 0.5947 0.5157  1 Au 1.97
F 0.6420 0.5949 0.5155  1 Au 1.97

***

[4]
The following is a DFT calculation (GGA-PBE) of crystalline LiHg2Ru at its relaxed geometry.

Values from the calculation:
As for the formation energy: 0.22 eV per atom. The calculation puts the total energy at -10.92 eV for the cell shown.

Cell: 5.5695 5.5695 5.5695 Å, 146.99 130.85 60.48°
Closest atoms and distances in Å follow each position.
Positions (direct):
Hg 0.0085 0.0085 0.0000  4 Li 2.81, 2 Ru 2.84, 2 Hg 2.99
Hg 0.7446 0.2446 0.5000  4 Ru 2.81, 2 Li 2.89, 2 Hg 2.99
Li 0.4939 0.4939 0.0000  2 Ru 2.81, 6 Hg 2.81-2.89
Ru 0.2531 0.7531 0.5000  2 Li 2.81, 6 Hg 2.81-2.84